Entry 1:
Compound: Al2ZnGa2Pd5
Source: Alexandria
Functional: PBE-GGA
Structure: optimized geometry

* ΔE_f: -558.7 meV per atom
* DOS(E_F): 0.450 states/eV per atom
* VASP energy: -4.636 eV/atom
* theoretical density: 8.25 g cm⁻³
* space-group type: No. 127

a b c (Å): 10.4345 10.4345 2.9242
angles (deg): 90.00 90.00 90.00
Closest atoms and distances in Å follow each position.
Positions (direct):
Al: 0.1476 0.3524 0.0000  6 Pd 2.57-2.62
Al: 0.3524 0.8524 0.0000  6 Pd 2.57-2.62
Al: 0.6476 0.1476 0.0000  6 Pd 2.57-2.62
Al: 0.8524 0.6476 0.0000  6 Pd 2.57-2.62
Zn: 0.0000 0.0000 0.0000  8 Pd 2.63, 2 Zn 2.92
Zn: 0.5000 0.5000 0.0000  8 Pd 2.63, 2 Zn 2.92
Ga: 0.1467 0.6467 0.0000  6 Pd 2.60-2.61
Ga: 0.3533 0.1467 0.0000  6 Pd 2.60-2.61
Ga: 0.6467 0.8533 0.0000  6 Pd 2.60-2.61
Ga: 0.8533 0.3533 0.0000  6 Pd 2.60-2.61
Pd: 0.0000 0.5000 0.5000  4 Ga 2.61, 4 Al 2.62, 2 Pd 2.92
Pd: 0.1471 0.1497 0.5000  2 Al 2.57, 2 Ga 2.60, 2 Zn 2.63
Pd: 0.1497 0.8529 0.5000  2 Al 2.57, 2 Ga 2.60, 2 Zn 2.63
Pd: 0.3503 0.3529 0.5000  2 Al 2.57, 2 Ga 2.60, 2 Zn 2.63
Pd: 0.3529 0.6497 0.5000  2 Al 2.57, 2 Ga 2.60, 2 Zn 2.63
Pd: 0.5000 0.0000 0.5000  4 Ga 2.61, 4 Al 2.62, 2 Pd 2.92
Pd: 0.6471 0.3503 0.5000  2 Al 2.57, 2 Ga 2.60, 2 Zn 2.63
Pd: 0.6497 0.6471 0.5000  2 Al 2.57, 2 Ga 2.60, 2 Zn 2.63
Pd: 0.8503 0.1471 0.5000  2 Al 2.57, 2 Ga 2.60, 2 Zn 2.63
Pd: 0.8529 0.8503 0.5000  2 Al 2.57, 2 Ga 2.60, 2 Zn 2.63

=====

Entry 2:
Compound: AlZn2Ga2Pd5
Source: Alexandria
Functional: PBE-GGA
Structure: optimized geometry

* ΔE_f: -543.2 meV per atom
* DOS(E_F): 0.246 states/eV per atom
* VASP energy: -4.374 eV/atom
* theoretical density: 8.67 g cm⁻³
* space-group type: No. 127

a b c (Å): 10.5344 10.5344 2.8614
angles (deg): 90.00 90.00 90.00
Closest atoms and distances in Å follow each position.
Positions (direct):
Al: 0.0000 0.0000 0.0000  8 Pd 2.59, 2 Al 2.86
Al: 0.5000 0.5000 0.0000  8 Pd 2.59, 2 Al 2.86
Zn: 0.1473 0.3527 0.0000  6 Pd 2.62-2.65, 2 Zn 2.86
Zn: 0.3527 0.8527 0.0000  6 Pd 2.62-2.65, 2 Zn 2.86
Zn: 0.6473 0.1473 0.0000  6 Pd 2.62-2.65, 2 Zn 2.86
Zn: 0.8527 0.6473 0.0000  6 Pd 2.62-2.65, 2 Zn 2.86
Ga: 0.1442 0.6442 0.0000  6 Pd 2.58-2.61, 2 Ga 2.86
Ga: 0.3558 0.1442 0.0000  6 Pd 2.58-2.61, 2 Ga 2.86
Ga: 0.6442 0.8558 0.0000  6 Pd 2.58-2.61, 2 Ga 2.86
Ga: 0.8558 0.3558 0.0000  6 Pd 2.58-2.61, 2 Ga 2.86
Pd: 0.0000 0.5000 0.5000  4 Ga 2.58, 4 Zn 2.62, 2 Pd 2.86
Pd: 0.1415 0.8511 0.5000  2 Al 2.59, 2 Ga 2.61, 2 Zn 2.65, 2 Pd 2.86
Pd: 0.1489 0.1415 0.5000  2 Al 2.59, 2 Ga 2.61, 2 Zn 2.65, 2 Pd 2.86
Pd: 0.3511 0.6415 0.5000  2 Al 2.59, 2 Ga 2.61, 2 Zn 2.65, 2 Pd 2.86
Pd: 0.3585 0.3511 0.5000  2 Al 2.59, 2 Ga 2.61, 2 Zn 2.65, 2 Pd 2.86
Pd: 0.5000 0.0000 0.5000  4 Ga 2.58, 4 Zn 2.62, 2 Pd 2.86
Pd: 0.6415 0.6489 0.5000  2 Al 2.59, 2 Ga 2.61, 2 Zn 2.65, 2 Pd 2.86
Pd: 0.6489 0.3585 0.5000  2 Al 2.59, 2 Ga 2.61, 2 Zn 2.65, 2 Pd 2.86
Pd: 0.8511 0.8585 0.5000  2 Al 2.59, 2 Ga 2.61, 2 Zn 2.65, 2 Pd 2.86
Pd: 0.8585 0.1489 0.5000  2 Al 2.59, 2 Ga 2.61, 2 Zn 2.65, 2 Pd 2.86

=====

Entry 3:
Compound: AlZnGaPd
Source: Alexandria
Functional: PBE-GGA
Structure: optimized geometry

* ΔE_f: -197.9 meV per atom
* DOS(E_F): 1.065 states/eV per atom
* VASP energy: -3.507 eV/atom
* theoretical density: 7.19 g cm⁻³
* space-group type: No. 216

a b c (Å): 4.4425 4.4425 4.4425
angles (deg): 60.00 60.00 60.00
Closest atoms and distances in Å follow each position.
Positions (direct):
Al: 0.0000 0.0000 0.0000  4 Pd 2.72, 4 Zn 2.72
Zn: 0.7500 0.7500 0.7500  4 Ga 2.72, 4 Al 2.72
Ga: 0.5000 0.5000 0.5000  4 Zn 2.72, 4 Pd 2.72
Pd: 0.2500 0.2500 0.2500  4 Ga 2.72, 4 Al 2.72

=====

Entry 4:
Compound: ZrAlGaPd
Source: Alexandria
Functional: PBE-GGA
Structure: optimized geometry

* ΔE_f: -515.5 meV per atom
* DOS(E_F): 0.649 states/eV per atom
* VASP energy: -5.643 eV/atom
* theoretical density: 7.08 g cm⁻³
* space-group type: No. 216

a b c (Å): 4.6043 4.6043 4.6043
angles (deg): 60.00 60.00 60.00
Closest atoms and distances in Å follow each position.
Positions (direct):
Zr: 0.0000 0.0000 0.0000  4 Pd 2.82, 4 Ga 2.82
Al: 0.5000 0.5000 0.5000  4 Pd 2.82, 4 Ga 2.82
Ga: 0.7500 0.7500 0.7500  4 Al 2.82, 4 Zr 2.82
Pd: 0.2500 0.2500 0.2500  4 Al 2.82, 4 Zr 2.82

=====

Entry 5:
Compound: Pm2AlGa
Source: Alexandria
Functional: PBE-GGA
Structure: optimized geometry

* ΔE_f: -482.7 meV per atom
* DOS(E_F): 1.121 states/eV per atom
* VASP energy: -4.550 eV/atom
* theoretical density: 6.04 g cm⁻³
* space-group type: No. 38

a b c (Å): 4.1821 6.1006 6.1006
angles (deg): 43.12 90.00 90.00
Closest atoms and distances in Å follow each position.
Positions (direct):
Pm: 0.0000 0.0000 0.0000  4 Ga 3.16, 3 Al 3.26-3.31
Pm: 0.5000 0.2834 0.2834  4 Al 3.18, 3 Ga 3.23-3.32
Al: 0.0000 0.7082 0.7082  2 Ga 2.63
Ga: 0.5000 0.5681 0.5681  2 Al 2.63

=====

Entry 6:
Compound: PmAlGa2
Source: Alexandria
Functional: PBE-GGA
Structure: optimized geometry

* ΔE_f: -334.4 meV per atom
* DOS(E_F): 0.626 states/eV per atom
* VASP energy: -3.971 eV/atom
* theoretical density: 6.02 g cm⁻³
* space-group type: No. 65
* energy relative to the lowest polymorph listed for this composition: 4.88 kcal/mol of atoms

a b c (Å): 5.4486 5.4486 3.2850
angles (deg): 90.00 90.00 118.24
Closest atoms and distances in Å follow each position.
Positions (direct):
Pm: 0.0000 0.0000 0.0000  8 Ga 3.18, 4 Al 3.24, 2 Pm 3.28
Al: 0.5000 0.5000 0.5000  4 Ga 2.72
Ga: 0.0000 0.5000 0.5000  2 Al 2.72, 2 Ga 2.80
Ga: 0.5000 0.0000 0.5000  2 Al 2.72, 2 Ga 2.80

=====

Entry 7:
Compound: PmAlGa2
Source: Alexandria
Functional: PBE-GGA
Structure: optimized geometry

* ΔE_f: -324.3 meV per atom
* DOS(E_F): 0.749 states/eV per atom
* VASP energy: -3.961 eV/atom
* theoretical density: 6.19 g cm⁻³
* space-group type: No. 123
* energy relative to the lowest polymorph listed for this composition: 5.11 kcal/mol of atoms

a b c (Å): 3.5266 3.5266 6.7203
angles (deg): 90.00 90.00 90.00
Closest atoms and distances in Å follow each position.
Positions (direct):
Pm: 0.0000 0.0000 0.0000  8 Ga 3.21, 2 Al 3.36, 4 Pm 3.53
Al: 0.0000 0.0000 0.5000  8 Ga 2.83
Ga: 0.5000 0.5000 0.3014  1 Ga 2.67, 4 Al 2.83
Ga: 0.5000 0.5000 0.6986  1 Ga 2.67, 4 Al 2.83

=====

Entry 8:
Compound: PmAlGa2
Source: Alexandria
Functional: PBE-GGA
Structure: optimized geometry

* ΔE_f: -545.9 meV per atom
* DOS(E_F): 0.250 states/eV per atom
* VASP energy: -4.183 eV/atom
* theoretical density: 6.23 g cm⁻³
* space-group type: No. 62
* energy relative to the lowest polymorph listed for this composition: 0.00 kcal/mol of atoms

a b c (Å): 14.1383 4.2238 11.1124
angles (deg): 90.00 90.00 90.00
Closest atoms and distances in Å follow each position.
Positions (direct):
Pm: 0.0492 0.2500 0.2483  7 Ga 3.05-3.29, 3 Al 3.37-3.42
Pm: 0.2001 0.7500 0.9623  8 Ga 3.10-3.46, 3 Al 3.28-3.39
Pm: 0.2999 0.2500 0.4623  8 Ga 3.10-3.46, 3 Al 3.28-3.39
Pm: 0.4508 0.7500 0.7483  7 Ga 3.05-3.29, 3 Al 3.37-3.42
Pm: 0.5492 0.2500 0.2517  7 Ga 3.05-3.29, 3 Al 3.37-3.42
Pm: 0.7001 0.7500 0.5377  8 Ga 3.10-3.46, 3 Al 3.28-3.39
Pm: 0.7999 0.2500 0.0377  8 Ga 3.10-3.46, 3 Al 3.28-3.39
Pm: 0.9508 0.7500 0.7517  7 Ga 3.05-3.29, 3 Al 3.37-3.42
Al: 0.0565 0.2500 0.5511  4 Ga 2.59-2.66, 2 Al 2.88
Al: 0.2040 0.7500 0.6673  5 Ga 2.62-2.73
Al: 0.2960 0.2500 0.1673  5 Ga 2.62-2.73
Al: 0.4435 0.7500 0.0511  4 Ga 2.59-2.66, 2 Al 2.88
Al: 0.5565 0.2500 0.9489  4 Ga 2.59-2.66, 2 Al 2.88
Al: 0.7040 0.7500 0.8327  5 Ga 2.62-2.73
Al: 0.7960 0.2500 0.3327  5 Ga 2.62-2.73
Al: 0.9435 0.7500 0.4489  4 Ga 2.59-2.66, 2 Al 2.88
Ga: 0.0394 0.2500 0.9734  3 Ga 2.46-2.47
Ga: 0.1138 0.2500 0.7721  2 Ga 2.47-2.58, 3 Al 2.59-2.73
Ga: 0.1318 0.7500 0.4500  1 Ga 2.51, 4 Al 2.62-2.66
Ga: 0.2050 0.7500 0.2442  2 Ga 2.51-2.58, 2 Al 2.62
Ga: 0.2950 0.2500 0.7442  2 Ga 2.51-2.58, 2 Al 2.62
Ga: 0.3682 0.2500 0.9500  1 Ga 2.51, 4 Al 2.62-2.66
Ga: 0.3862 0.7500 0.2721  2 Ga 2.47-2.58, 3 Al 2.59-2.73
Ga: 0.4606 0.7500 0.4734  3 Ga 2.46-2.47
Ga: 0.5394 0.2500 0.5266  3 Ga 2.46-2.47
Ga: 0.6138 0.2500 0.7279  2 Ga 2.47-2.58, 3 Al 2.59-2.73
Ga: 0.6318 0.7500 0.0500  1 Ga 2.51, 4 Al 2.62-2.66
Ga: 0.7050 0.7500 0.2558  2 Ga 2.51-2.58, 2 Al 2.62
Ga: 0.7950 0.2500 0.7558  2 Ga 2.51-2.58, 2 Al 2.62
Ga: 0.8682 0.2500 0.5500  1 Ga 2.51, 4 Al 2.62-2.66
Ga: 0.8862 0.7500 0.2279  2 Ga 2.47-2.58, 3 Al 2.59-2.73
Ga: 0.9606 0.7500 0.0266  3 Ga 2.46-2.47

=====

Entry 9:
Compound: Pm2AlGa
Source: Alexandria
Functional: PBE-GGA
Structure: optimized geometry

* ΔE_f: -86.7 meV per atom
* DOS(E_F): 1.119 states/eV per atom
* VASP energy: -4.154 eV/atom
* theoretical density: 5.67 g cm⁻³
* space-group type: No. 15

a b c (Å): 5.9110 5.9110 9.2588
angles (deg): 113.06 113.06 50.94
Closest atoms and distances in Å follow each position.
Positions (direct):
Pm: 0.1840 0.1864 0.0927  3 Ga 3.16-3.31, 3 Al 3.22-3.25
Pm: 0.1864 0.1840 0.5927  3 Ga 3.16-3.31, 3 Al 3.22-3.25
Pm: 0.8136 0.8160 0.4073  3 Ga 3.16-3.31, 3 Al 3.22-3.25
Pm: 0.8160 0.8136 0.9073  3 Ga 3.16-3.31, 3 Al 3.22-3.25
Al: 0.2684 0.7316 0.7500  2 Ga 2.52-2.57
Al: 0.7316 0.2684 0.2500  2 Ga 2.52-2.57
Ga: 0.2364 0.7636 0.2500  2 Al 2.52-2.57
Ga: 0.7636 0.2364 0.7500  2 Al 2.52-2.57

=====

Entry 10:
Compound: Pm5AlGa4
Source: Alexandria
Functional: PBE-GGA
Structure: optimized geometry

* ΔE_f: -528.7 meV per atom
* DOS(E_F): 0.406 states/eV per atom
* VASP energy: -4.489 eV/atom
* theoretical density: 6.90 g cm⁻³
* space-group type: No. 123

a b c (Å): 3.6749 3.6749 18.3681
angles (deg): 90.00 90.00 90.00
Closest atoms and distances in Å follow each position.
Positions (direct):
Pm: 0.0000 0.0000 0.0000  8 Ga 3.18
Pm: 0.0000 0.0000 0.1993  8 Ga 3.18
Pm: 0.0000 0.0000 0.3982  4 Ga 3.17, 4 Al 3.20
Pm: 0.0000 0.0000 0.6018  4 Ga 3.17, 4 Al 3.20
Pm: 0.0000 0.0000 0.8007  8 Ga 3.18
Al: 0.5000 0.5000 0.5000  8 Pm 3.20
Ga: 0.5000 0.5000 0.0997  8 Pm 3.18
Ga: 0.5000 0.5000 0.2992  8 Pm 3.17-3.18
Ga: 0.5000 0.5000 0.7008  8 Pm 3.17-3.18
Ga: 0.5000 0.5000 0.9003  8 Pm 3.18

=====

Look up the VASP energy of the fifth one.
-4.550 eV/atom

=====

Look up the theoretical density of the ninth one.
5.67 g cm⁻³

=====

Which of these has the highest DOS(E_F)?
number 5

=====

What is the formula in the seventh record?
PmAlGa2